Density functional theory data (GGA-PBE) for a relaxed Rb2Sr2Te crystal.

Computed properties:
Its total energy is -2.11 eV/atom. For the density of states at the Fermi level, the calculation gives 5.7 states/eV per cell. As for the energy relative to the elements, uncorrected: -0.42 eV per atom.

```
data_Rb2Sr2Te
_chemical_formula_sum 'Rb4 Sr4 Te2'
_space_group_name_H-M_alt 'P 4/m b m'
_space_group_IT_number 127
_space_group_name_Hall '-P 4 2ab'
_cell_length_a 8.8247
_cell_length_b 8.8247
_cell_length_c 7.8583
_cell_angle_alpha 90.00
_cell_angle_beta 90.00
_cell_angle_gamma 90.00
loop_
_atom_site_label
_atom_site_type_symbol
_atom_site_fract_x
_atom_site_fract_y
_atom_site_fract_z
_atom_site_occupancy
Rb1 Rb 0.1705 0.3295 0.0000 1
Sr1 Sr 0.1702 0.6702 0.5000 1
Te1 Te 0.0000 0.0000 0.5000 1
```


Density functional theory data (GGA-PBE) for a relaxed Rb3SrTe crystal.

Computed properties:
Its total energy is -1.88 eV/atom. For the density of states at the Fermi level, the calculation gives 5.2 states/eV per cell. As for the energy relative to the elements, uncorrected: -0.33 eV per atom. For the distance to the lowest polymorph of the same formula, the calculation gives 0.00 eV per formula unit.

```
data_Rb3SrTe
_chemical_formula_sum 'Rb3 Sr1 Te1'
_space_group_name_H-M_alt 'P m -3 m'
_space_group_IT_number 221
_space_group_name_Hall '-P 4 2 3'
_cell_length_a 7.1086
_cell_length_b 7.1086
_cell_length_c 7.1086
_cell_angle_alpha 90.00
_cell_angle_beta 90.00
_cell_angle_gamma 90.00
loop_
_atom_site_label
_atom_site_type_symbol
_atom_site_fract_x
_atom_site_fract_y
_atom_site_fract_z
_atom_site_occupancy
Rb1 Rb 0.0000 0.0000 0.5000 1
Sr1 Sr 0.5000 0.5000 0.5000 1
Te1 Te 0.0000 0.0000 0.0000 1
```


Density functional theory data (GGA-PBE) for a relaxed RbSr3Te crystal.

Computed properties:
Its total energy is -1.14 eV/atom. For the density of states at the Fermi level, the calculation gives 6.5 states/eV per cell. As for the energy relative to the elements, uncorrected: 0.69 eV per atom. For the distance to the lowest polymorph of the same formula, the calculation gives 5.56 eV per formula unit.

```
data_RbSr3Te
_chemical_formula_sum 'Rb1 Sr3 Te1'
_space_group_name_H-M_alt 'P m -3 m'
_space_group_IT_number 221
_space_group_name_Hall '-P 4 2 3'
_cell_length_a 6.5225
_cell_length_b 6.5225
_cell_length_c 6.5225
_cell_angle_alpha 90.00
_cell_angle_beta 90.00
_cell_angle_gamma 90.00
loop_
_atom_site_label
_atom_site_type_symbol
_atom_site_fract_x
_atom_site_fract_y
_atom_site_fract_z
_atom_site_occupancy
Rb1 Rb 0.0000 0.0000 0.0000 1
Sr1 Sr 0.0000 0.0000 0.5000 1
Te1 Te 0.5000 0.5000 0.5000 1
```


Density functional theory data (GGA-PBE) for a relaxed RbSrTe3 crystal.

Computed properties:
Its total energy is -2.91 eV/atom. For the density of states at the Fermi level, the calculation gives 5.2 states/eV per cell. As for the energy relative to the elements, uncorrected: -0.50 eV per atom. For the distance to the lowest polymorph of the same formula, the calculation gives 2.47 eV per formula unit.

```
data_RbSrTe3
_chemical_formula_sum 'Rb1 Sr1 Te3'
_space_group_name_H-M_alt 'P m -3 m'
_space_group_IT_number 221
_space_group_name_Hall '-P 4 2 3'
_cell_length_a 6.3098
_cell_length_b 6.3098
_cell_length_c 6.3098
_cell_angle_alpha 90.00
_cell_angle_beta 90.00
_cell_angle_gamma 90.00
loop_
_atom_site_label
_atom_site_type_symbol
_atom_site_fract_x
_atom_site_fract_y
_atom_site_fract_z
_atom_site_occupancy
Rb1 Rb 0.0000 0.0000 0.0000 1
Sr1 Sr 0.5000 0.5000 0.5000 1
Te1 Te 0.0000 0.5000 0.5000 1
```


Density functional theory data (GGA-PBE) for a relaxed Rb2SrTe2 crystal.

Computed properties:
Its total energy is -3.03 eV/atom. For the density of states at the Fermi level, the calculation gives 0.0 states/eV per cell. As for the energy relative to the elements, uncorrected: -1.05 eV per atom.

```
data_Rb2SrTe2
_chemical_formula_sum 'Rb4 Sr2 Te4'
_space_group_name_H-M_alt 'P 4/m b m'
_space_group_IT_number 127
_space_group_name_Hall '-P 4 2ab'
_cell_length_a 9.1842
_cell_length_b 9.1842
_cell_length_c 5.2246
_cell_angle_alpha 90.00
_cell_angle_beta 90.00
_cell_angle_gamma 90.00
loop_
_atom_site_label
_atom_site_type_symbol
_atom_site_fract_x
_atom_site_fract_y
_atom_site_fract_z
_atom_site_occupancy
Rb1 Rb 0.1292 0.3708 0.0000 1
Sr1 Sr 0.0000 0.0000 0.5000 1
Te1 Te 0.1809 0.6809 0.5000 1
```


Density functional theory data (GGA-PBE) for a relaxed Rb3SrTe crystal.

Computed properties:
Its total energy is -1.14 eV/atom. For the density of states at the Fermi level, the calculation gives 6.0 states/eV per cell. As for the energy relative to the elements, uncorrected: 0.40 eV per atom. For the distance to the lowest polymorph of the same formula, the calculation gives 3.70 eV per formula unit.

```
data_Rb3SrTe
_chemical_formula_sum 'Rb3 Sr1 Te1'
_space_group_name_H-M_alt 'P m -3 m'
_space_group_IT_number 221
_space_group_name_Hall '-P 4 2 3'
_cell_length_a 7.5740
_cell_length_b 7.5740
_cell_length_c 7.5740
_cell_angle_alpha 90.00
_cell_angle_beta 90.00
_cell_angle_gamma 90.00
loop_
_atom_site_label
_atom_site_type_symbol
_atom_site_fract_x
_atom_site_fract_y
_atom_site_fract_z
_atom_site_occupancy
Rb1 Rb 0.0000 0.0000 0.5000 1
Sr1 Sr 0.0000 0.0000 0.0000 1
Te1 Te 0.5000 0.5000 0.5000 1
```


Density functional theory data (GGA-PBE) for a relaxed RbSrTe3 crystal.

Computed properties:
Its total energy is -3.41 eV/atom. For the density of states at the Fermi level, the calculation gives 9.9 states/eV per cell. As for the energy relative to the elements, uncorrected: -0.99 eV per atom. For the distance to the lowest polymorph of the same formula, the calculation gives 0.00 eV per formula unit.

```
data_RbSrTe3
_chemical_formula_sum 'Rb4 Sr4 Te12'
_space_group_name_H-M_alt 'P n n a'
_space_group_IT_number 52
_cell_length_a 18.8340
_cell_length_b 6.5137
_cell_length_c 6.3588
_cell_angle_alpha 90.00
_cell_angle_beta 90.00
_cell_angle_gamma 90.00
loop_
_space_group_symop_operation_xyz
'x,y,z'
'-x,-y,-z'
'-x+1/2,-y,z'
'x+1/2,y,-z'
'x,-y+1/2,-z+1/2'
'-x,y+1/2,z+1/2'
'-x+1/2,y+1/2,-z+1/2'
'x+1/2,-y+1/2,z+1/2'
loop_
_atom_site_label
_atom_site_type_symbol
_atom_site_fract_x
_atom_site_fract_y
_atom_site_fract_z
_atom_site_occupancy
Rb1 Rb 0.2500 0.0000 0.0286 1
Sr1 Sr 0.0004 0.2500 0.2500 1
Te1 Te 0.0855 0.7500 0.2500 1
Te2 Te 0.1245 0.0723 0.5770 1
```


Density functional theory data (GGA-PBE) for a relaxed RbSrTe3 crystal.

Computed properties:
Its total energy is -2.33 eV/atom. For the density of states at the Fermi level, the calculation gives 11.7 states/eV per cell. As for the energy relative to the elements, uncorrected: 0.08 eV per atom. For the distance to the lowest polymorph of the same formula, the calculation gives 5.36 eV per formula unit.

```
data_RbSrTe3
_chemical_formula_sum 'Rb1 Sr1 Te3'
_space_group_name_H-M_alt 'P m -3 m'
_space_group_IT_number 221
_space_group_name_Hall '-P 4 2 3'
_cell_length_a 6.1408
_cell_length_b 6.1408
_cell_length_c 6.1408
_cell_angle_alpha 90.00
_cell_angle_beta 90.00
_cell_angle_gamma 90.00
loop_
_atom_site_label
_atom_site_type_symbol
_atom_site_fract_x
_atom_site_fract_y
_atom_site_fract_z
_atom_site_occupancy
Rb1 Rb 0.0000 0.0000 0.0000 1
Sr1 Sr 0.5000 0.5000 0.5000 1
Te1 Te 0.0000 0.0000 0.5000 1
```


Density functional theory data (GGA-PBE) for a relaxed Rb4SrTh3Te8 crystal.

Computed properties:
Its total energy is -4.56 eV/atom. For the density of states at the Fermi level, the calculation gives 29.3 states/eV per cell. As for the energy relative to the elements, uncorrected: -1.25 eV per atom.

```
data_Rb4SrTh3Te8
_chemical_formula_sum 'Rb12 Sr3 Th9 Te24'
_space_group_name_H-M_alt 'R -3 m'
_space_group_IT_number 166
_space_group_name_Hall '-R 3 2"'
_cell_length_a 9.2629
_cell_length_b 9.2629
_cell_length_c 25.9263
_cell_angle_alpha 90.00
_cell_angle_beta 90.00
_cell_angle_gamma 120.00
loop_
_atom_site_label
_atom_site_type_symbol
_atom_site_fract_x
_atom_site_fract_y
_atom_site_fract_z
_atom_site_occupancy
Rb1 Rb 0.0000 0.0000 0.0000 1
Rb2 Rb 0.0000 0.5000 0.0000 1
Sr1 Sr 0.0000 0.0000 0.5000 1
Th1 Th 0.0000 0.5000 0.5000 1
Te1 Te 0.0000 0.0000 0.2353 1
Te2 Te 0.0128 0.5064 0.7638 1
```


Density functional theory data (GGA-PBE) for a relaxed Rb3SrTm2Te6 crystal.

Computed properties:
Its total energy is -3.98 eV/atom. For the density of states at the Fermi level, the calculation gives 16.7 states/eV per cell. As for the energy relative to the elements, uncorrected: -1.29 eV per atom.

```
data_Rb3SrTm2Te6
_chemical_formula_sum 'Rb6 Sr2 Tm4 Te12'
_space_group_name_H-M_alt 'C 1 2/m 1'
_space_group_IT_number 12
_cell_length_a 7.9049
_cell_length_b 13.7078
_cell_length_c 9.0385
_cell_angle_alpha 90.00
_cell_angle_beta 107.06
_cell_angle_gamma 90.00
loop_
_space_group_symop_operation_xyz
'x,y,z'
'-x,-y,-z'
'-x,y,-z'
'x,-y,z'
'x+1/2,y+1/2,z'
'-x+1/2,-y+1/2,-z'
'-x+1/2,y+1/2,-z'
'x+1/2,-y+1/2,z'
loop_
_atom_site_label
_atom_site_type_symbol
_atom_site_fract_x
_atom_site_fract_y
_atom_site_fract_z
_atom_site_occupancy
Rb1 Rb 0.0000 0.0000 0.0000 1
Rb2 Rb 0.0000 0.3399 0.0000 1
Sr1 Sr 0.0000 0.5000 0.5000 1
Tm1 Tm 0.0000 0.1674 0.5000 1
Te1 Te 0.2104 0.0000 0.7000 1
Te2 Te 0.2462 0.3217 0.7023 1
```


Density functional theory data (GGA-PBE) for a relaxed Rb3SrU3Te8 crystal.

Computed properties:
Its total energy is -5.18 eV/atom. For the density of states at the Fermi level, the calculation gives 44.2 states/eV per cell. As for the energy relative to the elements, uncorrected: -0.94 eV per atom.

```
data_Rb3SrU3Te8
_chemical_formula_sum 'Rb6 Sr2 U6 Te16'
_space_group_name_H-M_alt 'C 1 2/m 1'
_space_group_IT_number 12
_cell_length_a 15.9017
_cell_length_b 9.1504
_cell_length_c 10.0840
_cell_angle_alpha 90.00
_cell_angle_beta 121.73
_cell_angle_gamma 90.00
loop_
_space_group_symop_operation_xyz
'x,y,z'
'-x,-y,-z'
'-x,y,-z'
'x,-y,z'
'x+1/2,y+1/2,z'
'-x+1/2,-y+1/2,-z'
'-x+1/2,y+1/2,-z'
'x+1/2,-y+1/2,z'
loop_
_atom_site_label
_atom_site_type_symbol
_atom_site_fract_x
_atom_site_fract_y
_atom_site_fract_z
_atom_site_occupancy
Rb1 Rb 0.0000 0.0000 0.0000 1
Rb2 Rb 0.2500 0.2500 0.0000 1
Sr1 Sr 0.0000 0.0000 0.5000 1
U1 U 0.0000 0.5000 0.5000 1
U2 U 0.2500 0.2500 0.5000 1
Te1 Te 0.0215 0.2670 0.2967 1
Te2 Te 0.2337 0.5000 0.7002 1
Te3 Te 0.2459 0.0000 0.7023 1
```


Density functional theory data (GGA-PBE) for a relaxed Rb3Sr3UTe8 crystal.

Computed properties:
Its total energy is -4.07 eV/atom. For the density of states at the Fermi level, the calculation gives 42.6 states/eV per cell. As for the energy relative to the elements, uncorrected: -1.11 eV per atom.

```
data_Rb3Sr3UTe8
_chemical_formula_sum 'Rb9 Sr9 U3 Te24'
_space_group_name_H-M_alt 'R -3 m'
_space_group_IT_number 166
_space_group_name_Hall '-R 3 2"'
_cell_length_a 9.4990
_cell_length_b 9.4990
_cell_length_c 26.1390
_cell_angle_alpha 90.00
_cell_angle_beta 90.00
_cell_angle_gamma 120.00
loop_
_atom_site_label
_atom_site_type_symbol
_atom_site_fract_x
_atom_site_fract_y
_atom_site_fract_z
_atom_site_occupancy
Rb1 Rb 0.0000 0.5000 0.0000 1
Sr1 Sr 0.0000 0.5000 0.5000 1
U1 U 0.0000 0.0000 0.5000 1
Te1 Te 0.0000 0.0000 0.2376 1
Te2 Te 0.0391 0.5196 0.2314 1
```